Compound: LiCeSN
Source: Alexandria via LeMat-Bulk
Functional: PBE
Structure: relaxed

abc: 3.276 3.276 6.289
angles: 105.10 105.10 90.00
Atoms (fractional coordinates):
Li (0.331, 0.331, 0.663)
Ce (0.604, 0.604, 0.207)
S (0.916, 0.916, 0.833)
N (0.161, 0.161, 0.322)

Values from the calculation:
space group	No. 107
formation energy from raw total energies	-1.131	eV/atom
total energy	-24.8	eV per cell
density of states at the Fermi level	1.6	states/eV per cell

***

Compound: Li2Ce2Sb2N
Source: Alexandria via LeMat-Bulk
Functional: PBE
Structure: relaxed

abc: 4.523 4.523 8.335
angles: 105.74 105.74 90.00
Atoms (fractional coordinates):
Li (0.000, 0.500, 0.000)
Li (0.500, 0.000, 0.000)
Ce (0.143, 0.143, 0.286)
Ce (0.857, 0.857, 0.714)
Sb (0.361, 0.361, 0.721)
Sb (0.639, 0.639, 0.279)
N (0.000, 0.000, 0.000)

Values from the calculation:
space group	No. 139
formation energy from raw total energies	-0.963	eV/atom
total energy	-39.0	eV per cell
density of states at the Fermi level	9.1	states/eV per cell

***

Compound: Li2CeSbN
Source: Alexandria via LeMat-Bulk
Functional: PBE
Structure: relaxed

abc: 3.381 6.816 7.666
angles: 90.00 90.00 104.36
Atoms (fractional coordinates):
Li (0.148, 0.295, 0.964)
Li (0.852, 0.705, 0.036)
Li (0.148, 0.295, 0.536)
Li (0.852, 0.705, 0.464)
Ce (0.479, 0.959, 0.750)
Ce (0.521, 0.041, 0.250)
Sb (0.745, 0.489, 0.750)
Sb (0.255, 0.511, 0.250)
N (0.000, 0.000, 0.000)
N (0.000, 0.000, 0.500)

Values from the calculation:
space group	No. 63
formation energy from raw total energies	-0.794	eV/atom
total energy	-52.4	eV per cell
density of states at the Fermi level	7.8	states/eV per cell

***

Compound: LiCe2SbN
Source: Alexandria via LeMat-Bulk
Functional: PBE
Structure: relaxed

abc: 4.458 4.860 4.860
angles: 90.00 90.00 90.00
Atoms (fractional coordinates):
Li (0.500, 0.000, 0.000)
Ce (0.000, 0.000, 0.500)
Ce (0.000, 0.500, 0.000)
Sb (0.500, 0.500, 0.500)
N (0.000, 0.000, 0.000)

Values from the calculation:
space group	No. 123
formation energy from raw total energies	-1.006	eV/atom
total energy	-31.3	eV per cell
density of states at the Fermi level	8.4	states/eV per cell

***

Compound: LiCeSeN
Source: Alexandria via LeMat-Bulk
Functional: PBE
Structure: relaxed

abc: 3.352 3.352 6.454
angles: 105.05 105.05 90.00
Atoms (fractional coordinates):
Li (0.326, 0.326, 0.652)
Ce (0.616, 0.616, 0.232)
Se (0.910, 0.910, 0.819)
N (0.161, 0.161, 0.322)

Values from the calculation:
space group	No. 107
formation energy from raw total energies	-1.099	eV/atom
total energy	-24.1	eV per cell
density of states at the Fermi level	3.1	states/eV per cell

***

Compound: Li3CeSe2N
Source: Alexandria via LeMat-Bulk
Functional: PBE
Structure: relaxed

abc: 4.408 4.304 7.570
angles: 106.52 106.93 90.00
Atoms (fractional coordinates):
Li (0.000, 0.500, 0.000)
Li (0.168, 0.168, 0.336)
Li (0.832, 0.832, 0.664)
Ce (0.500, 0.000, 0.000)
Se (0.644, 0.644, 0.288)
Se (0.356, 0.356, 0.712)
N (0.000, 0.000, 0.000)

Values from the calculation:
space group	No. 71
formation energy from raw total energies	-1.233	eV/atom
total energy	-35.6	eV per cell

***

Compound: LiCe2SiN
Source: Alexandria via LeMat-Bulk
Functional: PBE
Structure: relaxed

abc: 4.122 4.792 4.792
angles: 90.00 90.00 90.00
Atoms (fractional coordinates):
Li (0.500, 0.000, 0.000)
Ce (0.000, 0.000, 0.500)
Ce (0.000, 0.500, 0.000)
Si (0.500, 0.500, 0.500)
N (0.000, 0.000, 0.000)

Values from the calculation:
space group	No. 123
formation energy from raw total energies	-0.834	eV/atom
total energy	-31.7	eV per cell
density of states at the Fermi level	7.2	states/eV per cell

***

Compound: Li2CeSnN
Source: Alexandria via LeMat-Bulk
Functional: PBE
Structure: relaxed

abc: 3.439 7.345 7.099
angles: 90.00 90.00 103.54
Atoms (fractional coordinates):
Li (0.135, 0.270, 0.944)
Li (0.865, 0.730, 0.056)
Li (0.135, 0.270, 0.556)
Li (0.865, 0.730, 0.444)
Ce (0.469, 0.938, 0.750)
Ce (0.531, 0.062, 0.250)
Sn (0.750, 0.500, 0.750)
Sn (0.250, 0.500, 0.250)
N (0.000, 0.000, 0.000)
N (0.000, 0.000, 0.500)

Values from the calculation:
space group	No. 63
formation energy from raw total energies	-0.687	eV/atom
total energy	-51.0	eV per cell
density of states at the Fermi level	10.7	states/eV per cell

***

Copy entry 2 word for word.
Compound: Li2Ce2Sb2N
Source: Alexandria via LeMat-Bulk
Functional: PBE
Structure: relaxed

abc: 4.523 4.523 8.335
angles: 105.74 105.74 90.00
Atoms (fractional coordinates):
Li (0.000, 0.500, 0.000)
Li (0.500, 0.000, 0.000)
Ce (0.143, 0.143, 0.286)
Ce (0.857, 0.857, 0.714)
Sb (0.361, 0.361, 0.721)
Sb (0.639, 0.639, 0.279)
N (0.000, 0.000, 0.000)

Values from the calculation:
space group	No. 139
formation energy from raw total energies	-0.963	eV/atom
total energy	-39.0	eV per cell
density of states at the Fermi level	9.1	states/eV per cell